Zn2HgBr | PBE | optimized geometry

Unit cell a=6.0574 b=5.2233 c=3.9945 alpha=74.80 beta=78.05 gamma=120.04
With the nearest neighbours (Å) after each atom.
Sites, in units of the cell vectors:
Zn: 0.0000 0.0000 0.0000  2 Br 2.84, 2 Hg 2.84
Zn: 0.5000 0.0000 0.5000  2 Hg 2.84, 2 Br 2.84
Br: 0.0000 0.5000 0.5000  4 Zn 2.84
Hg: 0.5000 0.5000 0.0000  4 Zn 2.84

Output
SG: C2/m
Energy above the lowest structure with this stoichiometry: 168 meV per atom


Zn2HgBr | PBE | optimized geometry

Unit cell a=3.9712 b=6.4089 c=3.9485 alpha=90.00 beta=90.00 gamma=90.00
With the nearest neighbours (Å) after each atom.
Sites, in units of the cell vectors:
Hg: 0.0000 0.5000 0.5000  4 Zn 2.80
Br: 0.5000 0.0000 0.5000  4 Zn 2.80
Zn: 0.5000 0.5000 0.0000  4 Hg 2.80
Zn: 0.0000 0.0000 0.0000  4 Br 2.80

Output
SG: Pmmm
Energy above the lowest structure with this stoichiometry: 161 meV per atom


Zn2HgBr | PBE | optimized geometry

Unit cell a=5.0826 b=5.0826 c=7.5995 alpha=53.56 beta=53.56 gamma=43.12
With the nearest neighbours (Å) after each atom.
Sites, in units of the cell vectors:
Br: 0.7500 0.7500 0.7500  4 Zn 2.83
Zn: 0.4707 0.4707 0.3926  2 Zn 2.64, 2 Br 2.83, 3 Hg 2.83-2.90
Zn: 0.0293 0.0293 0.1074  2 Zn 2.64, 2 Br 2.83, 3 Hg 2.83-2.90
Hg: 0.2500 0.2500 0.2500  6 Zn 2.83-2.90

Output
SG: C2/m
Energy above the lowest structure with this stoichiometry: 15 meV per atom


ZnHgBr | PBE | optimized geometry

Unit cell a=3.6516 b=3.6496 c=15.2070 alpha=90.00 beta=90.00 gamma=120.02
With the nearest neighbours (Å) after each atom.
Sites, in units of the cell vectors:
Br: 0.2231 0.4462 0.8912  3 Zn 2.68
Br: 0.2231 0.4462 0.1088  3 Zn 2.68
Zn: 0.3323 0.6647 0.5000  6 Hg 3.03
Zn: 0.5567 0.1133 0.0000  6 Br 2.68
Hg: 0.6657 0.3314 0.6428  3 Zn 3.03
Hg: 0.6657 0.3314 0.3572  3 Zn 3.03

Output
SG: Amm2
Energy above the lowest structure with this stoichiometry: 110 meV per atom


Zn2HgBr | PBE | optimized geometry

Unit cell a=3.7576 b=3.7576 c=8.2399 alpha=90.00 beta=90.00 gamma=122.03
With the nearest neighbours (Å) after each atom.
Sites, in units of the cell vectors:
Hg: 0.5000 0.5000 0.7500  4 Zn 2.73
Zn: 0.0000 0.0000 0.5029  2 Hg 2.73, 2 Br 2.77
Zn: 0.0000 0.0000 0.9971  2 Hg 2.73, 2 Br 2.77
Br: 0.5000 0.5000 0.2500  4 Zn 2.77

Output
SG: Cmmm
Energy above the lowest structure with this stoichiometry: 113 meV per atom


Zn2HgBr2 | PBE | optimized geometry

Unit cell a=5.2031 b=5.2031 c=6.8906 alpha=67.82 beta=67.82 gamma=90.00
With the nearest neighbours (Å) after each atom.
Sites, in units of the cell vectors:
Hg: 0.0000 0.0000 0.0000  10 Br 3.82-4.19, 8 Zn 3.91
Zn: 0.2500 0.7500 0.5000  4 Br 2.75
Zn: 0.7500 0.2500 0.5000  4 Br 2.75
Br: 0.3278 0.3278 0.3445  4 Zn 2.75
Br: 0.6722 0.6722 0.6555  4 Zn 2.75

Output
SG: I4/mmm
Energy above the lowest structure with this stoichiometry: 234 meV per atom


Zn2HgBr | PBE | optimized geometry

Unit cell a=5.1344 b=5.1344 c=5.1344 alpha=60.00 beta=60.00 gamma=60.00
With the nearest neighbours (Å) after each atom.
Sites, in units of the cell vectors:
Br: 0.0000 0.0000 0.0000  8 Zn 3.14
Zn: 0.7500 0.7500 0.7500  4 Hg 3.14, 4 Br 3.14
Zn: 0.2500 0.2500 0.2500  4 Hg 3.14, 4 Br 3.14
Hg: 0.5000 0.5000 0.5000  8 Zn 3.14

Output
SG: Fm-3m
Energy above the lowest structure with this stoichiometry: 286 meV per atom


Zn2HgBr | PBE | optimized geometry

Unit cell a=5.7395 b=5.7395 c=5.7395 alpha=142.24 beta=111.27 gamma=81.18
With the nearest neighbours (Å) after each atom.
Sites, in units of the cell vectors:
Zn: 0.9734 0.9734 0.0000  2 Zn 2.60, 2 Hg 2.81
Zn: 0.7653 0.2653 0.5000  2 Zn 2.60, 2 Br 2.66
Hg: 0.2152 0.7152 0.5000  2 Zn 2.81
Br: 0.5461 0.5461 0.0000  2 Zn 2.66

Output
SG: Imm2
Energy above the lowest structure with this stoichiometry: 81 meV per atom


Zn4HgBr | PBE | optimized geometry

Unit cell a=5.5453 b=5.5453 c=5.5453 alpha=60.00 beta=60.00 gamma=60.00
With the nearest neighbours (Å) after each atom.
Sites, in units of the cell vectors:
Zn: 0.3736 0.3736 0.8791  6 Zn 2.74-2.80
Zn: 0.8791 0.3736 0.3736  6 Zn 2.74-2.80
Zn: 0.3736 0.3736 0.3736  6 Zn 2.74-2.80
Zn: 0.3736 0.8791 0.3736  6 Zn 2.74-2.80
Br: 0.7500 0.7500 0.7500  12 Zn 3.25, 4 Hg 3.40
Hg: 0.0000 0.0000 0.0000  12 Zn 3.25, 4 Br 3.40

Output
SG: F-43m


ZnHgBr | PBE | optimized geometry

Unit cell a=5.3708 b=4.1934 c=7.7647 alpha=90.00 beta=95.02 gamma=90.00
With the nearest neighbours (Å) after each atom.
Sites, in units of the cell vectors:
Hg: 0.8334 0.5000 0.0870  3 Zn 2.61-2.89
Hg: 0.2344 0.0000 0.3666  2 Zn 2.77
Br: 0.8963 0.5000 0.5654  1 Zn 2.42
Br: 0.4264 0.0000 0.7982  2 Zn 2.58
Zn: 0.1561 0.5000 0.8369  3 Br 2.42-2.58, 1 Zn 2.68, 1 Hg 2.71
Zn: 0.3697 0.5000 0.1614  4 Hg 2.61-2.89, 1 Zn 2.68

Output
SG: Pm
Energy above the lowest structure with this stoichiometry: 35 meV per atom


ZnHgBr | PBE | optimized geometry

Unit cell a=4.9080 b=4.9080 c=4.9080 alpha=60.00 beta=60.00 gamma=60.00
With the nearest neighbours (Å) after each atom.
Sites, in units of the cell vectors:
Zn: 0.7500 0.7500 0.7500  4 Hg 3.01, 4 Br 3.01
Hg: 0.5000 0.5000 0.5000  4 Zn 3.01
Br: 0.0000 0.0000 0.0000  4 Zn 3.01

Output
SG: F-43m
Energy above the lowest structure with this stoichiometry: 305 meV per atom


ZnHgBr | PBE | optimized geometry

Unit cell a=6.6070 b=6.6070 c=6.6070 alpha=149.46 beta=149.46 gamma=43.74
With the nearest neighbours (Å) after each atom.
Sites, in units of the cell vectors:
Zn: 0.3394 0.3394 0.0000  4 Br 2.90, 4 Hg 3.03
Hg: 0.6955 0.6955 0.0000  4 Zn 3.03, 1 Br 3.31
Br: 0.9652 0.9652 0.0000  4 Zn 2.90

Output
SG: I4mm
Energy above the lowest structure with this stoichiometry: 240 meV per atom


Total moment, record by record: 0.000 0.000 0.000 0.000 0.000 0.000 0.000 0.000 0.000 0.000 0.000 0.000 Bohr magnetons per cell
D(E_F), record by record: 1.604 0.999 1.466 0.173 0.978 2.293 3.810 0.607 2.298 0.148 1.718 0.960 states/eV/f.u.
Uncorrected formation energy, record by record: 20 17 -39 -59 -1 -27 66 -13 82 -81 -2 -21 kJ/mol of formula units